1.
First-principles (GGA-PBE) data for Zn2NiBr after structural relaxation, as listed in Alexandria.

distance to the lowest polymorph of the same formula: 380 meV per atom
M_tot: 0.000 μB/cell
formation energy from raw total energies: 1.3 eV/f.u.
DOS(E_F): 1.159 states/eV/cell
final energy: -2.1856 eV/atom

abc: 4.666 4.666 3.085
angles: 90.00 90.00 90.00
Space group P4/mmm (No. 123)
Symmetry-distinct sites (fractional):
Zn: 0.000 0.500 0.000 (multiplicity 2)
Ni: 0.000 0.000 0.500 (multiplicity 1)
Br: 0.500 0.500 0.500 (multiplicity 1)

***

2.
First-principles (GGA-PBE) data for Zn4NiBr after structural relaxation, as listed in Alexandria.

M_tot: 0.009 μB/cell
formation energy from raw total energies: 2.2 eV/f.u.
DOS(E_F): 21.083 states/eV/cell
final energy: -1.7212 eV/atom

abc: 7.395 7.395 7.395
angles: 90.00 90.00 90.00
Space group F-43m (No. 216)
Symmetry-distinct sites (fractional):
Zn: 0.124 0.124 0.376 (multiplicity 16)
Ni: 0.250 0.250 0.750 (multiplicity 4)
Br: 0.000 0.000 0.000 (multiplicity 4)

***

3.
First-principles (GGA-PBE) data for Zn2NiBr after structural relaxation, as listed in Alexandria.

distance to the lowest polymorph of the same formula: 279 meV per atom
M_tot: 0.000 μB/cell
formation energy from raw total energies: 0.9 eV/f.u.
DOS(E_F): 3.692 states/eV/cell
final energy: -2.2864 eV/atom

abc: 2.987 4.083 11.368
angles: 90.00 90.00 90.00
Space group Immm (No. 71)
Symmetry-distinct sites (fractional):
Zn: 0.000 0.000 0.203 (multiplicity 4)
Ni: 0.000 0.500 0.500 (multiplicity 2)
Br: 0.000 0.500 0.000 (multiplicity 2)

***

4.
First-principles (GGA-PBE) data for ZnNi3Br after structural relaxation, as listed in Alexandria.

distance to the lowest polymorph of the same formula: 0 meV per atom
M_tot: 0.000 μB/cell
formation energy from raw total energies: 4.1 eV/f.u.
DOS(E_F): 4.785 states/eV/cell
final energy: -3.2297 eV/atom

abc: 4.368 4.368 4.368
angles: 90.00 90.00 90.00
Space group Pm-3m (No. 221)
Symmetry-distinct sites (fractional):
Zn: 0.000 0.000 0.000 (multiplicity 1)
Ni: 0.000 0.500 0.500 (multiplicity 3)
Br: 0.500 0.500 0.500 (multiplicity 1)

***

5.
First-principles (GGA-PBE) data for Zn2NiBr after structural relaxation, as listed in Alexandria.

distance to the lowest polymorph of the same formula: 0 meV per atom
M_tot: 0.000 μB/cell
formation energy from raw total energies: -0.3 eV/f.u.
DOS(E_F): 2.291 states/eV/cell
final energy: -2.5655 eV/atom

abc: 8.084 3.458 6.300
angles: 90.00 109.04 90.00
Space group Cm (No. 8)
Symmetry-distinct sites (fractional):
Zn: 0.000 0.000 0.000 (multiplicity 2)
Zn: 0.163 0.500 0.801 (multiplicity 2)
Ni: 0.352 0.000 0.730 (multiplicity 2)
Br: 0.267 0.000 0.338 (multiplicity 2)

***

6.
First-principles (GGA-PBE) data for Zn2NiBr after structural relaxation, as listed in Alexandria.

distance to the lowest polymorph of the same formula: 310 meV per atom
M_tot: 0.000 μB/cell
formation energy from raw total energies: 1.0 eV/f.u.
DOS(E_F): 4.823 states/eV/cell
final energy: -2.2557 eV/atom

abc: 5.117 8.023 3.279
angles: 90.00 90.00 90.00
Space group Cmmm (No. 65)
Symmetry-distinct sites (fractional):
Zn: 0.250 0.250 0.000 (multiplicity 4)
Ni: 0.000 0.000 0.500 (multiplicity 2)
Br: 0.000 0.500 0.500 (multiplicity 2)

***

7.
First-principles (GGA-PBE) data for Zn2NiBr after structural relaxation, as listed in Alexandria.

distance to the lowest polymorph of the same formula: 663 meV per atom
M_tot: 0.000 μB/cell
formation energy from raw total energies: 2.4 eV/f.u.
DOS(E_F): 14.618 states/eV/cell
final energy: -1.9025 eV/atom

abc: 6.548 6.548 6.548
angles: 90.00 90.00 90.00
Space group Fm-3m (No. 225)
Symmetry-distinct sites (fractional):
Zn: 0.250 0.250 0.250 (multiplicity 8)
Ni: 0.000 0.000 0.000 (multiplicity 4)
Br: 0.000 0.000 0.500 (multiplicity 4)

***

8.
First-principles (GGA-PBE) data for Zn2NiBr after structural relaxation, as listed in Alexandria.

distance to the lowest polymorph of the same formula: 439 meV per atom
M_tot: 0.001 μB/cell
formation energy from raw total energies: 1.5 eV/f.u.
DOS(E_F): 5.139 states/eV/cell
final energy: -2.1267 eV/atom

abc: 3.644 3.644 10.920
angles: 90.00 90.00 90.00
Space group I-4m2 (No. 119)
Symmetry-distinct sites (fractional):
Zn: 0.000 0.000 0.000 (multiplicity 2)
Zn: 0.000 0.500 0.250 (multiplicity 2)
Ni: 0.000 0.000 0.500 (multiplicity 2)
Br: 0.000 0.500 0.750 (multiplicity 2)

***

9.
First-principles (GGA-PBE) data for Zn2NiBr after structural relaxation, as listed in Alexandria.

distance to the lowest polymorph of the same formula: 58 meV per atom
M_tot: 0.000 μB/cell
formation energy from raw total energies: 0.0 eV/f.u.
DOS(E_F): 1.565 states/eV/cell
final energy: -2.5078 eV/atom

abc: 3.144 3.199 7.007
angles: 90.00 90.00 90.00
Space group Pmmm (No. 47)
Symmetry-distinct sites (fractional):
Zn: 0.000 0.000 0.185 (multiplicity 2)
Ni: 0.500 0.500 0.000 (multiplicity 1)
Br: 0.500 0.000 0.500 (multiplicity 1)

***

10.
First-principles (GGA-PBE) data for Zn2NiBr after structural relaxation, as listed in Alexandria.

distance to the lowest polymorph of the same formula: 137 meV per atom
M_tot: 0.000 μB/cell
formation energy from raw total energies: 0.3 eV/f.u.
DOS(E_F): 6.254 states/eV/cell
final energy: -2.4287 eV/atom

abc: 3.3269 3.3269 22.2421
angles: 90.00 90.00 120.00
Space group R-3m (No. 166, hexagonal axes)
Symmetry-distinct sites (fractional):
Zn: 0.0000 0.0000 0.2384 (multiplicity 6)
Ni: 0.0000 0.0000 0.5000 (multiplicity 3)
Br: 0.0000 0.0000 0.0000 (multiplicity 3)

***

11.
First-principles (GGA-PBE) data for Zn2NiBr after structural relaxation, as listed in Alexandria.

distance to the lowest polymorph of the same formula: 108 meV per atom
M_tot: 0.342 μB/cell
formation energy from raw total energies: 0.2 eV/f.u.
DOS(E_F): 7.724 states/eV/cell
final energy: -2.4575 eV/atom

abc: 7.069 4.092 6.619
angles: 90.00 108.85 90.00
Space group C2/m (No. 12)
Symmetry-distinct sites (fractional):
Zn: 0.135 0.000 0.394 (multiplicity 4)
Ni: 0.000 0.500 0.500 (multiplicity 2)
Br: 0.000 0.000 0.000 (multiplicity 2)

***

12.
First-principles (GGA-PBE) data for Zn2NiBr after structural relaxation, as listed in Alexandria.

distance to the lowest polymorph of the same formula: 129 meV per atom
M_tot: 0.000 μB/cell
formation energy from raw total energies: 0.3 eV/f.u.
DOS(E_F): 2.984 states/eV/cell
final energy: -2.4364 eV/atom

abc: 4.477 4.489 6.770
angles: 90.00 90.00 90.00
Space group Cmmm (No. 65)
Symmetry-distinct sites (fractional):
Zn: 0.000 0.000 0.189 (multiplicity 4)
Ni: 0.000 0.500 0.000 (multiplicity 2)
Br: 0.000 0.500 0.500 (multiplicity 2)

***

> final energy of number 9 (Zn2NiBr)?

-2.5078 eV/atom